Entry 1:
# PBE LaAl2Ru, relaxed
# - Energy relative to the elements: -1.3 eV per formula unit
# - Uncorrected energy: -46.0 eV for the cell shown
# - Calculated volume: 169.2 Å³ per cell
data_LaAl2Ru
_cell_length_a 3.101
_cell_length_b 4.174
_cell_length_c 13.074
_cell_angle_alpha 90.00
_cell_angle_beta 90.00
_cell_angle_gamma 90.00
_space_group_name_H-M_alt 'I m m 2'
_space_group_IT_number 44
_space_group_name_Hall 'I 2 -2'
loop_
_atom_site_label
_atom_site_type_symbol
_atom_site_fract_x
_atom_site_fract_y
_atom_site_fract_z
La1 La 0.000 0.000 0.000
Al1 Al 0.000 0.000 0.648
Al2 Al 0.000 0.500 0.791
Ru1 Ru 0.000 0.500 0.297

=====

Entry 2:
# PBE LaAl2Ru, relaxed
# - Energy relative to the elements: -0.2 eV per formula unit
# - Uncorrected energy: -87.7 eV for the cell shown
# - Calculated volume: 409.2 Å³ per cell
data_LaAl2Ru
_cell_length_a 5.000
_cell_length_b 5.000
_cell_length_c 16.366
_cell_angle_alpha 90.00
_cell_angle_beta 90.00
_cell_angle_gamma 90.00
_space_group_name_H-M_alt 'I 41/a m d'
_space_group_IT_number 141
loop_
_space_group_symop_operation_xyz
'x,y,z'
'-x,-y,-z'
'-y+1/4,x+3/4,z+1/4'
'y+1/4,-x+3/4,-z+1/4'
'-x+1/2,-y,z+1/2'
'x+1/2,y,-z+1/2'
'y+1/4,-x+1/4,z+3/4'
'-y+1/4,x+1/4,-z+3/4'
'x,-y,-z'
'-x,y,z'
'-y+1/4,-x+1/4,-z+3/4'
'y+1/4,x+1/4,z+3/4'
'-x+1/2,y,-z+1/2'
'x+1/2,-y,z+1/2'
'y+1/4,x+3/4,-z+1/4'
'-y+1/4,-x+3/4,z+1/4'
'x+1/2,y+1/2,z+1/2'
'-x+1/2,-y+1/2,-z+1/2'
'-y+3/4,x+1/4,z+3/4'
'y+3/4,-x+1/4,-z+3/4'
'-x,-y+1/2,z'
'x,y+1/2,-z'
'y+3/4,-x+3/4,z+1/4'
'-y+3/4,x+3/4,-z+1/4'
'x+1/2,-y+1/2,-z+1/2'
'-x+1/2,y+1/2,z+1/2'
'-y+3/4,-x+3/4,-z+1/4'
'y+3/4,x+3/4,z+1/4'
'-x,y+1/2,-z'
'x,-y+1/2,z'
'y+3/4,x+1/4,-z+3/4'
'-y+3/4,-x+1/4,z+3/4'
loop_
_atom_site_label
_atom_site_type_symbol
_atom_site_fract_x
_atom_site_fract_y
_atom_site_fract_z
La1 La 0.000 0.250 0.375
Al1 Al 0.000 0.000 0.000
Ru1 Ru 0.000 0.250 0.875

=====

Entry 3:
# PBE LaAlRu4, relaxed
# - Energy relative to the elements: 0.3 eV per formula unit
# - Uncorrected energy: -181.8 eV for the cell shown
# - Calculated volume: 420.3 Å³ per cell
data_LaAlRu4
_cell_length_a 7.490
_cell_length_b 7.490
_cell_length_c 7.490
_cell_angle_alpha 90.00
_cell_angle_beta 90.00
_cell_angle_gamma 90.00
_space_group_name_H-M_alt 'F -4 3 m'
_space_group_IT_number 216
_space_group_name_Hall 'F -4 2 3'
loop_
_atom_site_label
_atom_site_type_symbol
_atom_site_fract_x
_atom_site_fract_y
_atom_site_fract_z
La1 La 0.000 0.000 0.000
Al1 Al 0.250 0.250 0.250
Ru1 Ru 0.124 0.124 0.624

=====

Entry 4:
# PBE LaAl2Ru, relaxed
# - Energy relative to the elements: -0.7 eV per formula unit
# - Uncorrected energy: -44.8 eV for the cell shown
# - Calculated volume: 164.6 Å³ per cell
data_LaAl2Ru
_cell_length_a 3.096
_cell_length_b 5.183
_cell_length_c 10.260
_cell_angle_alpha 90.00
_cell_angle_beta 90.00
_cell_angle_gamma 90.00
_space_group_name_H-M_alt 'I m m m'
_space_group_IT_number 71
_space_group_name_Hall '-I 2 2'
loop_
_atom_site_label
_atom_site_type_symbol
_atom_site_fract_x
_atom_site_fract_y
_atom_site_fract_z
La1 La 0.000 0.000 0.000
Al1 Al 0.000 0.500 0.204
Ru1 Ru 0.000 0.000 0.500

=====

Entry 5:
# PBE LaAl2Ru, relaxed
# - Energy relative to the elements: 0.4 eV per formula unit
# - Uncorrected energy: -63.9 eV for the cell shown
# - Calculated volume: 236.2 Å³ per cell
data_LaAl2Ru
_cell_length_a 3.1224
_cell_length_b 3.1224
_cell_length_c 27.9735
_cell_angle_alpha 90.00
_cell_angle_beta 90.00
_cell_angle_gamma 120.00
_space_group_name_H-M_alt 'R 3 m'
_space_group_IT_number 160
_space_group_name_Hall 'R 3 -2"'
loop_
_atom_site_label
_atom_site_type_symbol
_atom_site_fract_x
_atom_site_fract_y
_atom_site_fract_z
La1 La 0.0000 0.0000 0.0000
Al1 Al 0.0000 0.0000 0.2301
Al2 Al 0.0000 0.0000 0.4831
Ru1 Ru 0.0000 0.0000 0.7529

=====

Entry 6:
# PBE La4AlRu, relaxed
# - Energy relative to the elements: -1.1 eV per formula unit
# - Uncorrected energy: -135.1 eV for the cell shown
# - Calculated volume: 790.8 Å³ per cell
data_La4AlRu
_cell_length_a 9.421
_cell_length_b 14.645
_cell_length_c 7.197
_cell_angle_alpha 90.00
_cell_angle_beta 127.21
_cell_angle_gamma 90.00
_space_group_name_H-M_alt 'C 1 2/c 1'
_space_group_IT_number 15
_space_group_name_Hall '-C 2yc'
loop_
_atom_site_label
_atom_site_type_symbol
_atom_site_fract_x
_atom_site_fract_y
_atom_site_fract_z
La1 La 0.176 0.229 0.183
La2 La 0.231 0.023 0.760
Al1 Al 0.000 0.378 0.750
Ru1 Ru 0.000 0.111 0.250

=====

Entry 7:
# PBE La3Al4Ru4, relaxed
# - Energy relative to the elements: -3.3 eV per formula unit
# - Uncorrected energy: -140.4 eV for the cell shown
# - Calculated volume: 464.4 Å³ per cell
data_La3Al4Ru4
_cell_length_a 7.744
_cell_length_b 7.744
_cell_length_c 7.744
_cell_angle_alpha 90.00
_cell_angle_beta 90.00
_cell_angle_gamma 90.00
_space_group_name_H-M_alt 'I -4 3 m'
_space_group_IT_number 217
_space_group_name_Hall 'I -4 2 3'
loop_
_atom_site_label
_atom_site_type_symbol
_atom_site_fract_x
_atom_site_fract_y
_atom_site_fract_z
La1 La 0.000 0.000 0.500
Al1 Al 0.127 0.127 0.127
Ru1 Ru 0.190 0.190 0.810

=====

Entry 8:
# PBE LaAl2Ru, relaxed
# - Energy relative to the elements: -1.9 eV per formula unit
# - Uncorrected energy: -70.8 eV for the cell shown
# - Calculated volume: 264.4 Å³ per cell
data_LaAl2Ru
_cell_length_a 4.4079
_cell_length_b 4.4079
_cell_length_c 15.7133
_cell_angle_alpha 90.00
_cell_angle_beta 90.00
_cell_angle_gamma 120.00
_space_group_name_H-M_alt 'R 3 m'
_space_group_IT_number 160
_space_group_name_Hall 'R 3 -2"'
loop_
_atom_site_label
_atom_site_type_symbol
_atom_site_fract_x
_atom_site_fract_y
_atom_site_fract_z
La1 La 0.0000 0.0000 0.0000
Al1 Al 0.0000 0.0000 0.5262
Al2 Al 0.0000 0.0000 0.8008
Ru1 Ru 0.0000 0.0000 0.1782

=====

Entry 9:
# PBE LaAl2Ru, relaxed
# - Energy relative to the elements: -1.9 eV per formula unit
# - Uncorrected energy: -23.6 eV for the cell shown
# - Calculated volume: 76.2 Å³ per cell
data_LaAl2Ru
_cell_length_a 3.157
_cell_length_b 3.157
_cell_length_c 7.652
_cell_angle_alpha 90.00
_cell_angle_beta 90.00
_cell_angle_gamma 90.00
_space_group_name_H-M_alt 'P 4/m m m'
_space_group_IT_number 123
_space_group_name_Hall '-P 4 2'
loop_
_atom_site_label
_atom_site_type_symbol
_atom_site_fract_x
_atom_site_fract_y
_atom_site_fract_z
La1 La 0.000 0.000 0.000
Al1 Al 0.500 0.500 0.324
Ru1 Ru 0.000 0.000 0.500

=====

Entry 10:
# PBE La3Al2Ru, relaxed
# - Energy relative to the elements: -1.9 eV per formula unit
# - Uncorrected energy: -133.6 eV for the cell shown
# - Calculated volume: 673.8 Å³ per cell
data_La3Al2Ru
_cell_length_a 10.423
_cell_length_b 8.847
_cell_length_c 7.655
_cell_angle_alpha 90.00
_cell_angle_beta 107.36
_cell_angle_gamma 90.00
_space_group_name_H-M_alt 'C 1 2/c 1'
_space_group_IT_number 15
_space_group_name_Hall '-C 2yc'
loop_
_atom_site_label
_atom_site_type_symbol
_atom_site_fract_x
_atom_site_fract_y
_atom_site_fract_z
La1 La 0.000 0.100 0.250
La2 La 0.159 0.424 0.972
Al1 Al 0.203 0.228 0.637
Ru1 Ru 0.000 0.223 0.750

=====

Entry 11:
# PBE La3AlRu, relaxed
# - Energy relative to the elements: -0.8 eV per formula unit
# - Uncorrected energy: -28.6 eV for the cell shown
# - Calculated volume: 161.9 Å³ per cell
data_La3AlRu
_cell_length_a 5.450
_cell_length_b 5.450
_cell_length_c 5.450
_cell_angle_alpha 90.00
_cell_angle_beta 90.00
_cell_angle_gamma 90.00
_space_group_name_H-M_alt 'P m -3 m'
_space_group_IT_number 221
_space_group_name_Hall '-P 4 2 3'
loop_
_atom_site_label
_atom_site_type_symbol
_atom_site_fract_x
_atom_site_fract_y
_atom_site_fract_z
La1 La 0.000 0.000 0.500
Al1 Al 0.500 0.500 0.500
Ru1 Ru 0.000 0.000 0.000

=====

Entry 12:
# PBE LaAl2Ru, relaxed
# - Energy relative to the elements: 0.2 eV per formula unit
# - Uncorrected energy: -42.9 eV for the cell shown
# - Calculated volume: 162.9 Å³ per cell
data_LaAl2Ru
_cell_length_a 5.429
_cell_length_b 8.164
_cell_length_c 3.678
_cell_angle_alpha 90.00
_cell_angle_beta 92.68
_cell_angle_gamma 90.00
_space_group_name_H-M_alt 'C 1 2/m 1'
_space_group_IT_number 12
_space_group_name_Hall '-C 2y'
loop_
_atom_site_label
_atom_site_type_symbol
_atom_site_fract_x
_atom_site_fract_y
_atom_site_fract_z
La1 La 0.000 0.000 0.000
Al1 Al 0.250 0.250 0.500
Ru1 Ru 0.000 0.500 0.000

=====

Question: energy relative to the elements of number 7 (La3Al4Ru4)?
Answer: -3.3 eV per formula unit